Computed, not measured: crystalline TiBeTe3 at its relaxed geometry at the PBE level of DFT.

Cell: 5.314 5.314 5.314 Å, 90.00 90.00 90.00°
Sites, in units of the cell vectors:
1 Ti 0.000 0.000 0.000
2 Be 0.500 0.500 0.500
3 Te 0.000 0.000 0.500
4 Te 0.000 0.500 0.000
5 Te 0.500 0.000 0.000

The calculation puts the uncorrected energy at -3.75 eV per atom. For the uncorrected formation energy, the calculation gives 2.32 eV/f.u. The value obtained for the polymorph energy (0 for the lowest one) is 0 meV/atom.


Computed, not measured: crystalline Ti3BeTe3 at its relaxed geometry at the PBE level of DFT.

Cell: 9.215 9.215 9.215 Å, 109.47 109.47 109.47°
Sites, in units of the cell vectors:
1 Ti 0.017 0.033 0.267
2 Ti 0.017 0.483 0.750
3 Ti 0.033 0.267 0.017
4 Ti 0.233 0.267 0.750
5 Ti 0.233 0.467 0.483
6 Ti 0.267 0.017 0.033
7 Ti 0.267 0.750 0.233
8 Ti 0.467 0.483 0.233
9 Ti 0.483 0.233 0.467
10 Ti 0.483 0.750 0.017
11 Ti 0.750 0.017 0.483
12 Ti 0.750 0.233 0.267
13 Be 0.000 0.250 0.500
14 Be 0.250 0.250 0.250
15 Be 0.250 0.500 0.000
16 Be 0.500 0.000 0.250
17 Te 0.250 0.756 0.744
18 Te 0.250 0.994 0.506
19 Te 0.506 0.250 0.994
20 Te 0.506 0.756 0.511
21 Te 0.511 0.506 0.756
22 Te 0.744 0.250 0.756
23 Te 0.744 0.994 0.989
24 Te 0.756 0.511 0.506
25 Te 0.756 0.744 0.250
26 Te 0.989 0.744 0.994
27 Te 0.994 0.506 0.250
28 Te 0.994 0.989 0.744

The calculation puts the uncorrected energy at -5.63 eV per atom. For the uncorrected formation energy, the calculation gives -2.56 eV/f.u.


Computed, not measured: crystalline TiBeTe at its relaxed geometry at the PBE level of DFT.

Cell: 3.509 18.628 3.566 Å, 90.00 90.00 90.00°
Sites, in units of the cell vectors:
1 Ti 0.000 0.069 0.250
2 Ti 0.000 0.931 0.750
3 Ti 0.500 0.431 0.750
4 Ti 0.500 0.569 0.250
5 Be 0.000 0.473 0.250
6 Be 0.000 0.527 0.750
7 Be 0.500 0.027 0.750
8 Be 0.500 0.973 0.250
9 Te 0.000 0.347 0.250
10 Te 0.000 0.653 0.750
11 Te 0.500 0.153 0.750
12 Te 0.500 0.847 0.250

The calculation puts the uncorrected energy at -5.39 eV per atom. For the uncorrected formation energy, the calculation gives -1.42 eV/f.u.


Computed, not measured: crystalline TiBeTe3 at its relaxed geometry at the PBE level of DFT.

Cell: 4.942 4.942 4.942 Å, 90.00 90.00 90.00°
Sites, in units of the cell vectors:
1 Ti 0.000 0.000 0.000
2 Be 0.500 0.500 0.500
3 Te 0.000 0.500 0.500
4 Te 0.500 0.000 0.500
5 Te 0.500 0.500 0.000

The calculation puts the uncorrected energy at -3.72 eV per atom. For the uncorrected formation energy, the calculation gives 2.45 eV/f.u. The value obtained for the polymorph energy (0 for the lowest one) is 26 meV/atom.


Computed, not measured: crystalline Ti2BeTlTe at its relaxed geometry at the PBE level of DFT.

Cell: 5.256 5.256 5.660 Å, 90.00 90.00 90.00°
Sites, in units of the cell vectors:
1 Ti 0.000 0.500 0.000
2 Ti 0.500 0.000 0.000
3 Be 0.000 0.000 0.500
4 Tl 0.500 0.500 0.000
5 Te 0.500 0.500 0.500

The calculation puts the uncorrected energy at -3.37 eV per atom. For the uncorrected formation energy, the calculation gives 8.15 eV/f.u.


Computed, not measured: crystalline TiBeV2Te at its relaxed geometry at the PBE level of DFT.

Cell: 4.495 4.495 4.550 Å, 90.00 90.00 90.00°
Sites, in units of the cell vectors:
1 Ti 0.000 0.000 0.000
2 Be 0.000 0.000 0.500
3 V 0.000 0.500 0.000
4 V 0.500 0.000 0.000
5 Te 0.500 0.500 0.500

The calculation puts the uncorrected energy at -5.44 eV per atom. For the uncorrected formation energy, the calculation gives 5.81 eV/f.u.


Computed, not measured: crystalline TiBeTe2W at its relaxed geometry at the PBE level of DFT.

Cell: 4.848 4.848 4.179 Å, 90.00 90.00 90.00°
Sites, in units of the cell vectors:
1 Ti 0.000 0.000 0.000
2 Be 0.500 0.500 0.500
3 Te 0.000 0.500 0.500
4 Te 0.500 0.000 0.500
5 W 0.500 0.500 0.000

The calculation puts the uncorrected energy at -5.30 eV per atom. For the uncorrected formation energy, the calculation gives 4.34 eV/f.u.


Computed, not measured: crystalline TiBeZnTe2 at its relaxed geometry at the PBE level of DFT.

Cell: 5.292 5.292 5.080 Å, 90.00 90.00 90.00°
Sites, in units of the cell vectors:
1 Ti 0.000 0.000 0.000
2 Be 0.500 0.500 0.500
3 Zn 0.000 0.000 0.500
4 Te 0.000 0.500 0.000
5 Te 0.500 0.000 0.000

The calculation puts the uncorrected energy at -3.24 eV per atom. For the uncorrected formation energy, the calculation gives 2.99 eV/f.u.


Computed, not measured: crystalline Be2TlTe at its relaxed geometry at the PBE level of DFT.

Cell: 3.710 3.710 12.101 Å, 90.00 90.00 90.00°
Sites, in units of the cell vectors:
1 Be 0.000 0.000 0.000
2 Be 0.000 0.500 0.250
3 Be 0.500 0.000 0.750
4 Be 0.500 0.500 0.500
5 Tl 0.000 0.000 0.500
6 Tl 0.500 0.500 0.000
7 Te 0.000 0.500 0.750
8 Te 0.500 0.000 0.250

The calculation puts the uncorrected energy at -2.61 eV per atom. For the uncorrected formation energy, the calculation gives 2.52 eV/f.u. The value obtained for the polymorph energy (0 for the lowest one) is 279 meV/atom.


Computed, not measured: crystalline BeTlTe at its relaxed geometry at the PBE level of DFT.

Cell: 4.712 4.694 7.910 Å, 90.00 103.60 90.00°
Sites, in units of the cell vectors:
1 Be 0.000 0.239 0.000
2 Be 0.000 0.761 0.000
3 Tl 0.493 0.000 0.986
4 Tl 0.878 0.000 0.436
5 Te 0.258 0.500 0.256
6 Te 0.724 0.500 0.752

The calculation puts the uncorrected energy at -3.13 eV per atom. For the uncorrected formation energy, the calculation gives -0.16 eV/f.u. The value obtained for the polymorph energy (0 for the lowest one) is 0 meV/atom.


Computed, not measured: crystalline BeTlTe4 at its relaxed geometry at the PBE level of DFT.

Cell: 6.457 6.457 6.457 Å, 60.00 60.00 60.00°
Sites, in units of the cell vectors:
1 Be 0.000 0.000 0.000
2 Tl 0.250 0.250 0.250
3 Te 0.121 0.626 0.626
4 Te 0.626 0.121 0.626
5 Te 0.626 0.626 0.121
6 Te 0.626 0.626 0.626

The calculation puts the uncorrected energy at -2.53 eV per atom. For the uncorrected formation energy, the calculation gives 3.49 eV/f.u.


Computed, not measured: crystalline Be2TlTe at its relaxed geometry at the PBE level of DFT.

Cell: 6.362 3.719 6.851 Å, 90.00 107.22 90.00°
Sites, in units of the cell vectors:
1 Be 0.236 0.000 0.224
2 Be 0.264 0.500 0.776
3 Be 0.736 0.500 0.224
4 Be 0.764 0.000 0.776
5 Tl 0.000 0.000 0.500
6 Tl 0.500 0.500 0.500
7 Te 0.000 0.500 0.000
8 Te 0.500 0.000 0.000

The calculation puts the uncorrected energy at -2.79 eV per atom. For the uncorrected formation energy, the calculation gives 1.79 eV/f.u. The value obtained for the polymorph energy (0 for the lowest one) is 97 meV/atom.